1.
First-principles (GGA-PBE) data for crystalline ZnIn2Br4 at its relaxed geometry, as listed in the Alexandria database.

a = 7.0619 Å, b = 7.0619 Å, c = 9.0738 Å
α = 120.20°, β = 120.20°, γ = 33.41°
Last column: nearest neighbours and their distance in Å.
Atoms (fractional coordinates):
Zn 0.0000 0.0000 0.0000  6 Br 2.61-2.71
In 0.3328 0.3328 0.3445  5 Br 3.21-3.32
In 0.6672 0.6672 0.6555  5 Br 3.21-3.32
Br 0.0919 0.0919 0.3345  1 Zn 2.61
Br 0.3564 0.3564 0.9664  2 Zn 2.71
Br 0.6436 0.6436 0.0336  2 Zn 2.71
Br 0.9081 0.9081 0.6655  1 Zn 2.61

Properties
The symmetry is C2/m. The value obtained for the total moment is 0.000 μB/atom. The calculated density comes out at 4.8 Mg/m³. The density of states at the Fermi level comes out at 0.00 states/eV per cell.

=====

2.
First-principles (GGA-PBE) data for crystalline ZnInBr2 at its relaxed geometry, as listed in the Alexandria database.

a = 6.5984 Å, b = 6.7399 Å, c = 7.2437 Å
α = 86.41°, β = 65.39°, γ = 67.92°
Last column: nearest neighbours and their distance in Å.
Atoms (fractional coordinates):
Zn 0.0000 0.0000 0.0000  1 Zn 2.42, 2 Br 2.49-2.58
Zn 0.3540 0.0360 0.9937  1 Zn 2.42, 3 Br 2.52-2.60
In 0.1184 0.8714 0.4437  2 Br 3.05-3.16, 1 Zn 3.30
In 0.4294 0.5190 0.7428  3 Br 2.95-3.13
Br 0.2444 0.3998 0.1617  1 Zn 2.52
Br 0.5713 0.0369 0.6006  1 Zn 2.60
Br 0.7192 0.8146 0.0582  2 Zn 2.49-2.53
Br 0.9109 0.2815 0.7561  1 Zn 2.58

Properties
The symmetry is P1. The value obtained for the total moment is 0.000 μB/atom. The calculated density comes out at 4.2 Mg/m³.

=====

3.
First-principles (GGA-PBE) data for crystalline ZnInBr2 at its relaxed geometry, as listed in the Alexandria database.

a = 5.4940 Å, b = 3.9377 Å, c = 5.9364 Å
α = 90.00°, β = 114.38°, γ = 90.00°
Last column: nearest neighbours and their distance in Å.
Atoms (fractional coordinates):
Zn 0.0000 0.0000 0.0000  3 Br 2.56-2.73, 2 In 2.80
In 0.6990 0.5000 0.1046  2 Zn 2.80, 3 Br 2.95-3.06
Br 0.1324 0.5000 0.7533  2 Zn 2.73, 1 In 2.95
Br 0.4659 0.0000 0.3577  1 Zn 2.56

Properties
The symmetry is Pm. The value obtained for the total moment is 0.000 μB/atom. The calculated density comes out at 4.8 Mg/m³. The density of states at the Fermi level comes out at 0.89 states/eV per cell.

=====

no.,formation energy without anion corrections (eV/atom),offset from the most stable computed form (meV/atom)
1,-0.67,72
2,-0.54,53
3,-0.50,95